Record 1
Here is an optimized crystal structure of CrIn2As from Alexandria via LeMat-Bulk. Energies are from PBE.

a b c (Å): 8.2628 8.2628 8.2628
angles (deg): 25.16 25.16 25.16
Element x y z (fractional)
Cr1 0.0000 0.0000 0.0000
In1 0.5225 0.5225 0.5225
In2 0.7530 0.7530 0.7530
As1 0.2784 0.2784 0.2784

Results
symmetry: No. 160
ΔH_f (0 K): 143 meV per atom

Record 2
Here is an optimized crystal structure of POs2Cl from Alexandria via LeMat-Bulk. Energies are from PBE.

a b c (Å): 2.9422 2.9422 6.9035
angles (deg): 90.00 90.00 90.00
Element x y z (fractional)
P1 0.0000 0.0000 0.0000
Os1 0.5000 0.5000 0.1904
Os2 0.5000 0.5000 0.8096
Cl1 0.0000 0.0000 0.5000

Results
energy relative to the lowest polymorph listed for this composition: 399 meV per atom
symmetry: No. 123

Record 3
Here is an optimized crystal structure of Rb2Nb3F10 from Alexandria via LeMat-Bulk. Energies are from PBE.

a b c (Å): 6.8919 8.8141 9.4376
angles (deg): 100.61 91.48 105.61
Element x y z (fractional)
Rb1 0.0000 0.0000 0.0000
Rb2 0.0129 0.0366 0.5597
Rb3 0.7336 0.4015 0.4554
Rb4 0.7933 0.3697 0.8645
Nb1 0.1300 0.6762 0.2542
Nb2 0.3055 0.4403 0.1851
Nb3 0.3048 0.5675 0.6261
Nb4 0.4482 0.8286 0.8011
Nb5 0.4628 0.9955 0.2395
Nb6 0.5671 0.7077 0.1809
F1 0.0108 0.4298 0.2499
F2 0.0480 0.3764 0.6207
F3 0.1471 0.3399 0.9932
F4 0.1559 0.9234 0.2794
F5 0.1658 0.6774 0.4781
F6 0.1693 0.6465 0.8083
F7 0.2646 0.9498 0.7404
F8 0.3491 0.1870 0.1892
F9 0.3669 0.9277 0.0129
F10 0.3692 0.4559 0.4084
F11 0.4784 0.1004 0.4486
F12 0.4864 0.4457 0.6887
F13 0.5575 0.4630 0.0664
F14 0.5790 0.7460 0.6123
F15 0.5856 0.7303 0.9561
F16 0.6705 0.9096 0.3468
F17 0.7086 0.0117 0.8017
F18 0.7222 0.1248 0.1877
F19 0.7946 0.6616 0.3129
F20 0.9836 0.6634 0.0673

Results
energy: -6.09 eV/atom
symmetry: No. 1

Record 4
Here is an optimized crystal structure of Al2NiMo from Alexandria via LeMat-Bulk. Energies are from PBE.

a b c (Å): 8.7035 8.7035 8.7035
angles (deg): 18.50 18.50 18.50
Element x y z (fractional)
Al1 0.0000 0.0000 0.0000
Al2 0.2426 0.2426 0.2426
Ni1 0.7409 0.7409 0.7409
Mo1 0.4883 0.4883 0.4883

Results
energy relative to the lowest polymorph listed for this composition: 264 meV per atom
symmetry: No. 160
ΔH_f (0 K): -97 meV per atom

Q: What is the formula in the fourth record?
A: Al2NiMo